No. 1
First-principles (PBE-GGA) data for a relaxed LiTl4Hg7 crystal, as listed in Alexandria.

Cell: 6.123 6.429 10.259 Å, 73.42 79.14 63.26°
Fractional positions:
Li  0.000  0.000  0.000
Tl  0.203  0.335  0.725
Tl  0.427  0.728  0.713
Tl  0.573  0.272  0.287
Tl  0.797  0.665  0.275
Hg  0.136  0.185  0.465
Hg  0.199  0.885  0.262
Hg  0.228  0.513  0.033
Hg  0.500  0.000  0.000
Hg  0.772  0.487  0.967
Hg  0.801  0.115  0.738
Hg  0.864  0.815  0.535

Computed properties:
Total energy   -1.149 eV per atom
Crystal system   triclinic
Formation energy   -25 meV per atom

No. 2
First-principles (PBE-GGA) data for a relaxed Li6Tl5Hg crystal, as listed in Alexandria.

Cell: 8.404 8.404 4.790 Å, 106.40 106.40 118.85°
Fractional positions:
Li  0.081  0.406  0.743
Li  0.238  0.238  0.238
Li  0.406  0.081  0.743
Li  0.594  0.919  0.257
Li  0.762  0.762  0.762
Li  0.919  0.594  0.257
Tl  0.169  0.831  0.000
Tl  0.334  0.666  0.500
Tl  0.500  0.500  0.000
Tl  0.666  0.334  0.500
Tl  0.831  0.169  0.000
Hg  0.000  0.000  0.500

Computed properties:
Total energy   -2.218 eV per atom
Crystal system   monoclinic
Formation energy   -250 meV per atom

No. 3
First-principles (PBE-GGA) data for a relaxed Li8Tl2Hg crystal, as listed in Alexandria.

Cell: 7.858 7.858 4.675 Å, 106.84 106.84 50.76°
Fractional positions:
Li  0.072  0.635  0.353
Li  0.213  0.787  0.000
Li  0.340  0.340  0.837
Li  0.365  0.928  0.647
Li  0.635  0.072  0.353
Li  0.660  0.660  0.163
Li  0.787  0.213  0.000
Li  0.928  0.365  0.647
Tl  0.196  0.196  0.196
Tl  0.804  0.804  0.804
Hg  0.500  0.500  0.500

Computed properties:
Total energy   -2.059 eV per atom
Crystal system   monoclinic
Formation energy   -210 meV per atom
Polymorph energy (0 for the lowest one)   22 meV/atom

Repeat the third record exactly.
First-principles (PBE-GGA) data for a relaxed Li8Tl2Hg crystal, as listed in Alexandria.

Cell: 7.858 7.858 4.675 Å, 106.84 106.84 50.76°
Fractional positions:
Li  0.072  0.635  0.353
Li  0.213  0.787  0.000
Li  0.340  0.340  0.837
Li  0.365  0.928  0.647
Li  0.635  0.072  0.353
Li  0.660  0.660  0.163
Li  0.787  0.213  0.000
Li  0.928  0.365  0.647
Tl  0.196  0.196  0.196
Tl  0.804  0.804  0.804
Hg  0.500  0.500  0.500

Computed properties:
Total energy   -2.059 eV per atom
Crystal system   monoclinic
Formation energy   -210 meV per atom
Polymorph energy (0 for the lowest one)   22 meV/atom